Here is a geometry-optimized Pu2Si2Pd structure from Alexandria. Energies are from PBE.

POSCAR file:
```
Pu2Si2Pd
1.0
-4.250 -0.374 -0.383
-1.608 -0.661 -5.466
-1.460 -8.832 0.877
Si Pu Pd
4 4 2
Cartesian
-5.338 -8.589 -4.240
-1.598 -5.186 -1.156
-1.980 -1.278 -0.732
-5.720 -4.681 -3.816
-3.452 -6.653 -3.101
-3.866 -3.215 -1.872
-5.632 -8.497 -1.072
-1.686 -1.371 -3.901
-3.795 -5.814 -0.122
-3.523 -4.054 -4.850
```

Summary:
Formation energy from raw total energies   -0.577 eV per atom
E   -9.518 eV/atom
Excess energy over the best structure of this formula in the dataset   0.0000 eV per atom
SG   C2/m